Here is crystalline IrAuNF at its relaxed geometry from Alexandria via LeMat-Bulk. Energies are from GGA-PBE.

```
IrAuNF
1.0
-3.338 -1.806 -1.972
1.635 -2.887 -0.124
-1.869 -1.255 4.568
Ir Au N F
1 1 1 1
direct
0.401 0.000 0.163
0.369 0.500 0.738
0.368 0.500 0.324
0.881 0.000 0.120
```

electronic total energy: -5.45 eV/atom
ΔE_f (raw): 0.130 eV per atom
distance to the lowest polymorph of the same formula: 215.3 meV/atom
N(E_F): 0.278 states/eV per atom


Here is crystalline LiScIr2 at its relaxed geometry from Alexandria via LeMat-Bulk. Energies are from GGA-PBE.

```
LiScIr2
1.0
3.950 0.000 0.000
0.000 3.950 0.000
0.000 0.000 3.860
Ir Li Sc
2 1 1
direct
0.000 0.000 0.000
0.500 0.500 0.000
0.500 0.000 0.500
0.000 0.500 0.500
```

electronic total energy: -6.97 eV/atom
energy relative to the elements: -0.4794 eV per atom
N(E_F): 0.595 states/eV per atom


Here is crystalline CdP2 at its relaxed geometry from Alexandria via LeMat-Bulk. Energies are from GGA-PBE.

```
CdP2
1.0
3.483 0.221 2.502
1.788 3.074 2.402
2.507 1.775 8.391
Cd P
1 2
direct
0.245 0.281 0.447
0.165 0.201 0.795
0.325 0.362 0.099
```

electronic total energy: -3.88 eV/atom
energy relative to the elements: 0.0309 eV per atom
N(E_F): 0.173 states/eV per atom


Here is crystalline Sm4GaNi at its relaxed geometry from Alexandria via LeMat-Bulk. Energies are from GGA-PBE.

```
Sm4GaNi
1.0
-2.497 4.235 -3.739
-6.251 -2.650 1.173
0.215 2.892 7.680
Sm Ga Ni
8 2 2
direct
0.564 0.250 0.411
0.436 0.750 0.589
0.587 0.250 0.877
0.413 0.750 0.123
0.986 0.002 0.272
0.014 0.502 0.728
0.986 0.498 0.272
0.014 0.998 0.728
0.213 0.250 0.054
0.787 0.750 0.946
0.230 0.250 0.557
0.770 0.750 0.443
```

electronic total energy: -4.89 eV/atom
energy relative to the elements: -0.2714 eV per atom
N(E_F): 1.169 states/eV per atom


Here is crystalline SrMgRu2 at its relaxed geometry from Alexandria via LeMat-Bulk. Energies are from GGA-PBE.

```
SrMgRu2
1.0
5.518 0.009 -0.007
2.264 5.032 0.007
-3.199 -3.589 2.708
Mg Ru Sr
1 2 1
direct
0.250 0.750 0.500
0.016 0.016 0.000
0.484 0.484 0.000
0.750 0.250 0.500
```

electronic total energy: -4.81 eV/atom
energy relative to the elements: 0.6448 eV per atom
N(E_F): 1.255 states/eV per atom


Here is crystalline TlCd4Hg2 at its relaxed geometry from Alexandria via LeMat-Bulk. Energies are from GGA-PBE.

```
TlCd4Hg2
1.0
-2.556 -0.466 3.395
3.070 -2.928 1.909
2.646 8.533 3.163
Tl Cd Hg
1 4 2
direct
0.000 0.000 0.000
0.500 0.819 0.639
0.000 0.695 0.389
0.500 0.181 0.361
0.000 0.305 0.611
0.500 0.578 0.157
0.500 0.422 0.843
```

electronic total energy: -0.92 eV/atom
energy relative to the elements: 0.0245 eV per atom
N(E_F): 0.363 states/eV per atom


Here is crystalline AsPRh2 at its relaxed geometry from Alexandria via LeMat-Bulk. Energies are from GGA-PBE.

```
AsPRh2
1.0
-0.079 0.794 3.307
-3.145 -1.277 0.231
1.937 -4.563 1.142
As P Rh
1 1 2
direct
0.000 0.000 0.446
0.500 0.500 0.821
0.000 0.000 0.944
0.500 0.500 0.290
```

electronic total energy: -6.63 eV/atom
energy relative to the elements: -0.4410 eV per atom
distance to the lowest polymorph of the same formula: 0.0 meV/atom
N(E_F): 0.219 states/eV per atom


Here is crystalline La3SmTm4 at its relaxed geometry from Alexandria via LeMat-Bulk. Energies are from GGA-PBE.

```
La3SmTm4
1.0
3.363 0.000 0.871
1.174 8.592 2.394
-0.517 -1.050 8.920
Tm Sm La
4 1 3
direct
0.635 0.112 0.619
0.365 0.888 0.381
0.365 0.381 0.888
0.635 0.619 0.112
0.500 0.000 0.000
0.756 0.244 0.244
0.244 0.756 0.756
0.000 0.500 0.500
```

electronic total energy: -4.53 eV/atom
energy relative to the elements: 0.1463 eV per atom
distance to the lowest polymorph of the same formula: 112.3 meV/atom
N(E_F): 1.764 states/eV per atom


Here is crystalline Cs3KMg at its relaxed geometry from Alexandria via LeMat-Bulk. Energies are from GGA-PBE.

```
Cs3KMg
1.0
-1.328 -5.766 5.138
7.722 -0.886 1.002
-0.156 5.233 5.832
Cs K Mg
3 1 1
direct
0.000 0.500 0.000
0.000 0.000 0.500
0.500 0.000 0.000
0.500 0.500 0.500
0.000 0.000 0.000
```

electronic total energy: -0.85 eV/atom
energy relative to the elements: 0.1960 eV per atom
distance to the lowest polymorph of the same formula: 0.0 meV/atom
N(E_F): 1.272 states/eV per atom


Here is crystalline La3Nd2ErAs6 at its relaxed geometry from Alexandria via LeMat-Bulk. Energies are from GGA-PBE.

```
La3Nd2ErAs6
1.0
-4.014 3.987 4.830
3.550 -6.126 2.279
5.813 4.561 -0.844
La Nd Er As
3 2 1 6
direct
0.168 0.832 0.500
0.832 0.168 0.500
0.500 0.500 0.500
0.334 0.666 0.000
0.666 0.334 0.000
0.000 0.000 0.000
0.920 0.592 0.758
0.754 0.754 0.243
0.080 0.408 0.242
0.592 0.920 0.758
0.246 0.246 0.757
0.408 0.080 0.242
```

electronic total energy: -6.27 eV/atom
energy relative to the elements: -1.5344 eV per atom
N(E_F): 0.098 states/eV per atom


Here is crystalline Y2Ru at its relaxed geometry from Alexandria via LeMat-Bulk. Energies are from GGA-PBE.

```
Y2Ru
1.0
0.501 -1.866 5.545
-2.678 -4.945 1.687
3.172 -4.790 1.211
Y Ru
4 2
direct
0.125 0.125 0.125
0.125 0.625 0.125
0.125 0.125 0.625
0.625 0.125 0.125
0.500 0.500 0.500
0.750 0.750 0.750
```

electronic total energy: -6.41 eV/atom
energy relative to the elements: 0.9963 eV per atom
N(E_F): 1.545 states/eV per atom


Here is crystalline Mg2MnCr at its relaxed geometry from Alexandria via LeMat-Bulk. Energies are from GGA-PBE.

```
Mg2MnCr
1.0
2.707 0.147 0.000
-0.547 2.655 0.000
0.000 0.000 8.807
Cr Mg Mn
1 2 1
direct
0.500 0.500 0.750
0.000 0.000 0.994
0.000 0.000 0.506
0.500 0.500 0.250
```

electronic total energy: -4.98 eV/atom
energy relative to the elements: 0.5168 eV per atom
distance to the lowest polymorph of the same formula: 354.8 meV/atom
N(E_F): 1.073 states/eV per atom